# 1
First-principles (PBE) data for a relaxed structure of LiCeZn17, as listed in Alexandria via LeMat-Bulk.

Its electronic total energy is -32.0 eV/cell. As for the density of states at the Fermi level: 0.56 states/eV/atom. The calculated volume is 16.22 A^3/atom. The space group is R3m (160). The value obtained for the energy relative to the elements is -0.129 eV per atom.

Cell lengths 6.805, 6.805, 6.805 Å; angles 82.71, 82.71, 82.71 degrees
Atoms (fractional coordinates):
Li 0.000 0.000 0.000
Ce 0.316 0.316 0.316
Zn 0.005 0.005 0.502
Zn 0.005 0.502 0.005
Zn 0.161 0.646 0.646
Zn 0.299 0.299 0.822
Zn 0.299 0.822 0.299
Zn 0.352 0.659 0.951
Zn 0.352 0.951 0.659
Zn 0.502 0.005 0.005
Zn 0.557 0.557 0.557
Zn 0.646 0.161 0.646
Zn 0.646 0.646 0.161
Zn 0.659 0.352 0.951
Zn 0.659 0.951 0.352
Zn 0.761 0.761 0.761
Zn 0.822 0.299 0.299
Zn 0.951 0.352 0.659
Zn 0.951 0.659 0.352

# 2
First-principles (PBE) data for a relaxed structure of TbPmNd2Tl4, as listed in Alexandria via LeMat-Bulk.

Its electronic total energy is -31.4 eV/cell. As for the density of states at the Fermi level: 0.81 states/eV/atom. The calculated volume is 29.11 A^3/atom. The space group is R-3m (166). The value obtained for the energy relative to the elements is -0.377 eV per atom.

Cell lengths 9.501, 9.501, 9.501 Å; angles 33.51, 33.51, 33.51 degrees
Atoms (fractional coordinates):
Tb 0.000 0.000 0.000
Pm 0.500 0.500 0.500
Nd 0.250 0.250 0.250
Nd 0.750 0.750 0.750
Tl 0.124 0.124 0.124
Tl 0.374 0.374 0.374
Tl 0.626 0.626 0.626
Tl 0.876 0.876 0.876

# 3
First-principles (PBE) data for a relaxed structure of TaReMo2C, as listed in Alexandria via LeMat-Bulk.

Its electronic total energy is -41.3 eV/cell. As for the density of states at the Fermi level: 1.20 states/eV/atom. The calculated volume is 21.55 A^3/atom. The space group is P4/mmm (123). The value obtained for the energy relative to the elements is 2.776 eV per atom.

Cell lengths 4.710, 4.710, 4.857 Å; angles 90.00, 90.00, 90.00 degrees
Atoms (fractional coordinates):
Ta 0.000 0.000 0.000
Re 0.000 0.000 0.500
Mo 0.000 0.500 0.500
Mo 0.500 0.000 0.500
C 0.500 0.500 0.000

# 4
First-principles (PBE) data for a relaxed structure of CuGeRhS4, as listed in Alexandria via LeMat-Bulk.

For the energy relative to the elements, uncorrected, the calculation gives -0.441 eV per atom. Its electronic total energy is -71.3 eV/cell. The calculated volume is 17.72 A^3/atom. The space group is Imma (74).

Cell lengths 7.036, 7.036, 7.036 Å; angles 119.90, 119.14, 90.83 degrees
Atoms (fractional coordinates):
Cu 0.370 0.120 0.250
Cu 0.630 0.880 0.750
Ge 0.000 0.000 0.500
Ge 0.000 0.500 0.000
Rh 0.000 0.500 0.500
Rh 0.500 0.500 0.000
S 0.230 0.741 0.489
S 0.242 0.267 0.524
S 0.242 0.718 0.976
S 0.249 0.259 0.989
S 0.751 0.741 0.011
S 0.758 0.282 0.024
S 0.758 0.733 0.476
S 0.770 0.259 0.511

Which value of electronic total energy does entry 3 give? -41.3 eV/cell

Among the records above, which one has the highest electronic total energy? TbPmNd2Tl4

Among the records above, which one has the lowest electronic total energy? CuGeRhS4